Entry 1:
Here is a geometry-optimized Ba2ZrP structure from Alexandria. Energies are from PBE.

Geometry as CIF:
```
data_Ba2ZrP
_chemical_formula_sum 'Ba2 Zr1 P1'
_symmetry_space_group_name_H-M 'P 4/m m m'
_symmetry_Int_Tables_number 123
_symmetry_space_group_name_Hall '-P 4 2'
_cell_length_a 3.8337
_cell_length_b 3.8337
_cell_length_c 9.6290
_cell_angle_alpha 90.00
_cell_angle_beta 90.00
_cell_angle_gamma 90.00
loop_
_atom_site_label
_atom_site_type_symbol
_atom_site_fract_x
_atom_site_fract_y
_atom_site_fract_z
Ba1 Ba 0.0000 0.0000 0.1838
Zr1 Zr 0.5000 0.5000 0.5000
P1 P 0.5000 0.5000 0.0000
```

***

Entry 2:
# PBE NiAgPb2, relaxed
# ΔE to the lowest computed polymorph in eV/atom: 0.153
data_NiAgPb2
_chemical_formula_sum 'Ni2 Ag2 Pb4'
_symmetry_space_group_name_H-M 'I -4 m 2'
_symmetry_Int_Tables_number 119
_symmetry_space_group_name_Hall 'I -4 -2'
_cell_length_a 4.1900
_cell_length_b 4.1900
_cell_length_c 10.0165
_cell_angle_alpha 90.00
_cell_angle_beta 90.00
_cell_angle_gamma 90.00
loop_
_atom_site_label
_atom_site_type_symbol
_atom_site_fract_x
_atom_site_fract_y
_atom_site_fract_z
Ni1 Ni 0.0000 0.0000 0.0000
Ag1 Ag 0.0000 0.5000 0.2500
Pb1 Pb 0.0000 0.0000 0.5000
Pb2 Pb 0.0000 0.5000 0.7500

***

no.,E_tot (eV per atom),energy of formation from the pure elements (eV/atom),N(E_F) (states/eV per cell)
1,-4.3831,0.068,3.0
2,-3.6852,0.327,4.3